Entry 1:
An optimized crystal structure of PrYCdGa. Source: Alexandria via LeMat-Bulk, functional PBE.

Lattice parameters (Å, degrees): 5.2919 5.2919 5.2919 60.00 60.00 60.00
Last column: nearest neighbours and their distance in Å.
Sites, in units of the cell vectors:
Pr1 0.2500 0.2500 0.2500  4 Ga 3.24, 4 Cd 3.24
Y1 0.7500 0.7500 0.7500  4 Cd 3.24, 4 Ga 3.24
Ga1 0.0000 0.0000 0.0000  4 Y 3.24, 4 Pr 3.24
Cd1 0.5000 0.5000 0.5000  4 Pr 3.24, 4 Y 3.24

Results
N(E_F) = 0.949 states/eV/atom
mass density = 6.53 g/cm³
energy relative to the elements = -0.44 eV/atom
ΔE to the lowest computed polymorph = 0.017 eV/atom
space-group type = F-43m

=====

Entry 2:
An optimized crystal structure of PrYCdGa. Source: Alexandria via LeMat-Bulk, functional PBE.

Lattice parameters (Å, degrees): 3.6809 3.6809 7.6875 90.00 90.00 90.00
Last column: nearest neighbours and their distance in Å.
Sites, in units of the cell vectors:
Pr1 0.5000 0.5000 0.1240  4 Ga 3.23, 4 Cd 3.40, 1 Y 3.60
Y1 0.5000 0.5000 0.5921  4 Ga 3.11, 4 Cd 3.23
Cd1 0.0000 0.0000 0.8401  4 Y 3.23, 4 Pr 3.40, 1 Ga 3.60
Ga1 0.0000 0.0000 0.3718  4 Y 3.11, 4 Pr 3.23

Results
N(E_F) = 0.682 states/eV/atom
mass density = 6.57 g/cm³
energy relative to the elements = -0.46 eV/atom
ΔE to the lowest computed polymorph = 0.000 eV/atom
space-group type = P4mm

=====

Entry 3:
An optimized crystal structure of Pr3Zn6CdGa2. Source: Alexandria via LeMat-Bulk, functional PBE.

Lattice parameters (Å, degrees): 6.1016 6.1016 8.3232 90.00 90.00 120.00
Last column: nearest neighbours and their distance in Å.
Sites, in units of the cell vectors:
Pr1 0.3333 0.6667 0.6332  1 Ga 3.11, 9 Zn 3.14-3.30
Pr2 0.6667 0.3333 0.3668  1 Ga 3.11, 9 Zn 3.14-3.30
Pr3 0.0000 0.0000 0.0000  6 Zn 3.08
Zn1 0.6207 0.8103 0.2811  2 Zn 2.63, 1 Cd 2.71, 1 Ga 2.74
Zn2 0.1897 0.3793 0.2811  2 Zn 2.63, 1 Cd 2.71, 1 Ga 2.74
Zn3 0.1897 0.8103 0.2811  2 Zn 2.63, 1 Cd 2.71, 1 Ga 2.74
Zn4 0.8103 0.6207 0.7189  2 Zn 2.63, 1 Cd 2.71, 1 Ga 2.74
Zn5 0.3793 0.1897 0.7189  2 Zn 2.63, 1 Cd 2.71, 1 Ga 2.74
Zn6 0.8103 0.1897 0.7189  2 Zn 2.63, 1 Cd 2.71, 1 Ga 2.74
Cd1 0.0000 0.0000 0.5000  6 Zn 2.71
Ga1 0.6667 0.3333 0.9930  3 Zn 2.74
Ga2 0.3333 0.6667 0.0070  3 Zn 2.74

Results
N(E_F) = 0.817 states/eV/atom
mass density = 6.60 g/cm³
energy relative to the elements = -0.18 eV/atom
space-group type = P-3m1

=====

Entry 4:
An optimized crystal structure of Pr2Zn3CdGa4. Source: Alexandria via LeMat-Bulk, functional PBE.

Lattice parameters (Å, degrees): 4.3276 4.3276 10.8087 90.00 90.00 90.00
Last column: nearest neighbours and their distance in Å.
Sites, in units of the cell vectors:
Pr1 0.5000 0.0000 0.2419  6 Zn 3.29-3.53, 8 Ga 3.30-3.39, 2 Cd 3.53
Pr2 0.0000 0.5000 0.7581  6 Zn 3.29-3.53, 8 Ga 3.30-3.39, 2 Cd 3.53
Zn1 0.0000 0.0000 0.5000  4 Ga 2.67
Zn2 0.5000 0.0000 0.8704  5 Ga 2.44-2.58
Zn3 0.0000 0.5000 0.1296  5 Ga 2.44-2.58
Cd1 0.5000 0.5000 0.5000  4 Ga 2.67
Ga1 0.5000 0.5000 0.0000  4 Zn 2.58
Ga2 0.0000 0.0000 0.0000  4 Zn 2.58
Ga3 0.5000 0.0000 0.6449  3 Zn 2.44-2.67, 2 Cd 2.67
Ga4 0.0000 0.5000 0.3551  3 Zn 2.44-2.67, 2 Cd 2.67

Results
N(E_F) = 0.247 states/eV/atom
mass density = 7.13 g/cm³
energy relative to the elements = -0.46 eV/atom
space-group type = P-4m2

=====

Entry 5:
An optimized crystal structure of CdGaPt4. Source: Alexandria via LeMat-Bulk, functional PBE.

Lattice parameters (Å, degrees): 3.8521 3.8514 7.6189 90.00 90.00 90.00
Last column: nearest neighbours and their distance in Å.
Sites, in units of the cell vectors:
Cd1 0.5014 0.4971 0.9982  8 Pt 2.85
Ga1 0.0013 0.9974 0.4981  8 Pt 2.58
Pt1 0.5013 0.9973 0.2735  2 Ga 2.58, 4 Pt 2.72, 2 Cd 2.85
Pt2 0.5013 0.9973 0.7228  2 Ga 2.58, 4 Pt 2.72, 2 Cd 2.85
Pt3 0.0013 0.4973 0.7228  2 Ga 2.58, 4 Pt 2.72, 2 Cd 2.85
Pt4 0.0013 0.4973 0.2735  2 Ga 2.58, 4 Pt 2.72, 2 Cd 2.85

Results
N(E_F) = 0.721 states/eV/atom
mass density = 14.14 g/cm³
energy relative to the elements = -0.21 eV/atom
space-group type = P4/mmm

=====

Entry 6:
An optimized crystal structure of CdGaPt3. Source: Alexandria via LeMat-Bulk, functional PBE.

Lattice parameters (Å, degrees): 4.9848 4.9848 4.9848 90.00 90.00 90.00
Last column: nearest neighbours and their distance in Å.
Sites, in units of the cell vectors:
Ga1 0.5000 0.5000 0.5000  12 Pt 3.52
Pt1 0.0000 0.5000 0.0000  2 Cd 2.49
Pt2 0.0000 0.0000 0.5000  2 Cd 2.49
Pt3 0.5000 0.0000 0.0000  2 Cd 2.49
Cd1 0.0000 0.0000 0.0000  6 Pt 2.49

Results
N(E_F) = 2.230 states/eV/atom
mass density = 10.29 g/cm³
energy relative to the elements = 1.18 eV/atom
ΔE to the lowest computed polymorph = 1.597 eV/atom
space-group type = Pm-3m

=====

Entry 7:
An optimized crystal structure of Cd3GaPt12. Source: Alexandria via LeMat-Bulk, functional PBE.

Lattice parameters (Å, degrees): 4.0343 4.0343 15.9330 90.00 90.00 90.00
Last column: nearest neighbours and their distance in Å.
Sites, in units of the cell vectors:
Cd1 0.0000 0.0000 0.2462  12 Pt 2.85-2.87
Cd2 0.0000 0.0000 0.5000  12 Pt 2.85-2.86
Cd3 0.0000 0.0000 0.7538  12 Pt 2.85-2.87
Ga1 0.0000 0.0000 0.0000  12 Pt 2.75-2.85
Pt1 0.5000 0.5000 0.0000  8 Pt 2.75, 4 Ga 2.85
Pt2 0.5000 0.5000 0.2459  4 Cd 2.85, 8 Pt 2.86-2.87
Pt3 0.5000 0.5000 0.5000  4 Cd 2.85, 8 Pt 2.86
Pt4 0.5000 0.5000 0.7541  4 Cd 2.85, 8 Pt 2.86-2.87
Pt5 0.5000 0.0000 0.1178  2 Ga 2.75, 8 Pt 2.75-2.87, 2 Cd 2.87
Pt6 0.5000 0.0000 0.3731  8 Pt 2.85-2.86, 4 Cd 2.86
Pt7 0.5000 0.0000 0.6269  8 Pt 2.85-2.86, 4 Cd 2.86
Pt8 0.5000 0.0000 0.8822  8 Pt 2.75-2.87, 2 Ga 2.75, 2 Cd 2.87
Pt9 0.0000 0.5000 0.1178  8 Pt 2.75-2.87, 2 Ga 2.75, 2 Cd 2.87
Pt10 0.0000 0.5000 0.3731  8 Pt 2.85-2.86, 4 Cd 2.86
Pt11 0.0000 0.5000 0.6269  8 Pt 2.85-2.86, 4 Cd 2.86
Pt12 0.0000 0.5000 0.8822  2 Ga 2.75, 8 Pt 2.75-2.87, 2 Cd 2.87

Results
N(E_F) = 0.891 states/eV/atom
mass density = 17.60 g/cm³
energy relative to the elements = -0.25 eV/atom
space-group type = P4/mmm

=====

Entry 8:
An optimized crystal structure of CdGaPt. Source: Alexandria via LeMat-Bulk, functional PBE.

Lattice parameters (Å, degrees): 3.5750 4.7175 7.7562 64.70 76.68 67.73
Last column: nearest neighbours and their distance in Å.
Sites, in units of the cell vectors:
Cd1 0.8414 0.2177 0.0994  3 Cd 2.83-2.95, 4 Pt 2.89-3.03, 2 Ga 2.91
Cd2 0.1586 0.7823 0.9006  3 Cd 2.83-2.95, 4 Pt 2.89-3.03, 2 Ga 2.91
Ga1 0.3774 0.8372 0.4080  5 Pt 2.60-2.70, 1 Ga 2.74, 2 Cd 2.91
Ga2 0.6226 0.1628 0.5920  5 Pt 2.60-2.70, 1 Ga 2.74, 2 Cd 2.91
Pt1 0.8947 0.5243 0.6864  5 Ga 2.60-2.70, 3 Cd 2.89-2.91, 1 Pt 2.90
Pt2 0.1053 0.4757 0.3136  5 Ga 2.60-2.70, 3 Cd 2.89-2.91, 1 Pt 2.90

Results
N(E_F) = 0.287 states/eV/atom
mass density = 11.49 g/cm³
energy relative to the elements = -0.41 eV/atom
space-group type = C2/m

=====

Entry 9:
An optimized crystal structure of CdGaPt. Source: Alexandria via LeMat-Bulk, functional PBE.

Lattice parameters (Å, degrees): 3.0913 4.4443 4.4443 120.00 90.00 90.00
Last column: nearest neighbours and their distance in Å.
Sites, in units of the cell vectors:
Ga1 0.1675 0.0000 0.0000  3 Pt 2.57
Pt1 0.1661 0.3333 0.6667  3 Ga 2.57
Cd1 0.6663 0.6667 0.3333  6 Ga 2.99-3.00, 6 Pt 3.00, 2 Cd 3.09

Results
N(E_F) = 0.179 states/eV/atom
mass density = 11.85 g/cm³
energy relative to the elements = -0.34 eV/atom
space-group type = P-6m2

=====

Entry 10:
An optimized crystal structure of Cd3Ga4Pt4. Source: Alexandria via LeMat-Bulk, functional PBE.

Lattice parameters (Å, degrees): 3.5808 7.9672 8.2832 118.75 102.48 90.00
Last column: nearest neighbours and their distance in Å.
Sites, in units of the cell vectors:
Cd1 0.1015 0.1015 0.2029  6 Pt 2.80-2.89, 1 Cd 2.86
Cd2 0.8985 0.8985 0.7971  6 Pt 2.80-2.89, 1 Cd 2.86
Cd3 0.0000 0.5000 0.0000  4 Pt 2.85
Ga1 0.3276 0.1345 0.6551  4 Pt 2.52-2.71
Ga2 0.6724 0.4794 0.3449  4 Pt 2.52-2.71
Ga3 0.6724 0.8655 0.3449  4 Pt 2.52-2.71
Ga4 0.3276 0.5206 0.6551  4 Pt 2.52-2.71
Pt1 0.2453 0.7453 0.4907  6 Ga 2.57-2.71, 2 Cd 2.80
Pt2 0.7547 0.2547 0.5093  6 Ga 2.57-2.71, 2 Cd 2.80
Pt3 0.5000 0.7790 0.0000  2 Ga 2.52
Pt4 0.5000 0.2210 0.0000  2 Ga 2.52

Results
N(E_F) = 0.376 states/eV/atom
mass density = 11.55 g/cm³
energy relative to the elements = -0.43 eV/atom
space-group type = Immm

=====

Entry 11:
An optimized crystal structure of Cd2GaPt. Source: Alexandria via LeMat-Bulk, functional PBE.

Lattice parameters (Å, degrees): 9.0368 9.0368 6.8390 48.65 48.65 90.00
Last column: nearest neighbours and their distance in Å.
Sites, in units of the cell vectors:
Ga1 0.5000 0.5000 0.0000  2 Pt 2.44
Ga2 0.2500 0.7500 0.5000  2 Pt 2.44
Pt1 0.0000 0.0000 0.0000  2 Ga 2.44, 4 Cd 2.71
Pt2 0.7500 0.2500 0.5000  2 Ga 2.44, 4 Cd 2.71
Cd1 0.7227 0.1250 0.2500  2 Pt 2.71, 2 Cd 3.01
Cd2 0.0273 0.6250 0.2500  2 Pt 2.71, 2 Cd 3.01
Cd3 0.3750 0.2773 0.7500  2 Pt 2.71, 2 Cd 3.01
Cd4 0.8750 0.9727 0.7500  2 Pt 2.71, 2 Cd 3.01

Results
N(E_F) = 0.404 states/eV/atom
mass density = 8.17 g/cm³
energy relative to the elements = -0.09 eV/atom
space-group type = I-42d

=====

Entry 12:
An optimized crystal structure of Cd2GaPt. Source: Alexandria via LeMat-Bulk, functional PBE.

Lattice parameters (Å, degrees): 2.8582 2.8582 11.5251 82.88 82.88 60.00
Last column: nearest neighbours and their distance in Å.
Sites, in units of the cell vectors:
Ga1 0.5000 0.5000 0.5000  6 Ga 2.86
Pt1 0.0000 0.0000 0.0000  2 Cd 2.79, 6 Pt 2.86
Cd1 0.0816 0.0816 0.7553  1 Pt 2.79, 6 Cd 2.86
Cd2 0.9184 0.9184 0.2447  1 Pt 2.79, 6 Cd 2.86

Results
N(E_F) = 0.531 states/eV/atom
mass density = 10.08 g/cm³
energy relative to the elements = 0.09 eV/atom
space-group type = R-3m

=====

What did the ninth record say?
An optimized crystal structure of CdGaPt. Source: Alexandria via LeMat-Bulk, functional PBE.

Lattice parameters (Å, degrees): 3.0913 4.4443 4.4443 120.00 90.00 90.00
Last column: nearest neighbours and their distance in Å.
Sites, in units of the cell vectors:
Ga1 0.1675 0.0000 0.0000  3 Pt 2.57
Pt1 0.1661 0.3333 0.6667  3 Ga 2.57
Cd1 0.6663 0.6667 0.3333  6 Ga 2.99-3.00, 6 Pt 3.00, 2 Cd 3.09

Results
N(E_F) = 0.179 states/eV/atom
mass density = 11.85 g/cm³
energy relative to the elements = -0.34 eV/atom
space-group type = P-6m2

=====

Question: Look up the energy relative to the elements of the fifth one.
Answer: -0.21 eV/atom

=====

Question: Which of these has the lowest N(E_F)?
Answer: number 9